ScTeW3, relaxed, DFT PBE; formation energy (no corrections) = 1996 meV per atom; offset from the most stable computed form = 0.0 meV per atom; E = -7.671 eV/atom; volume = 23.33 A^3/atom
1.0
4.8863 0.0000 0.0000
0.0000 4.8863 0.0000
0.0000 0.0000 4.8863
Te Sc W
1 1 3
Direct
0.0000 0.0000 0.0000
0.5000 0.5000 0.5000
0.0000 0.0000 0.5000
0.0000 0.5000 0.0000
0.5000 0.0000 0.0000